a) Material: HAu3I
Method: DFT, PBE
State: relaxed

Lattice parameters (Å, degrees): 5.4748 5.4748 5.4748 90.00 90.00 90.00
Last column: nearest neighbours and their distance in Å.
Fractional positions:
I: 0.0000 0.0000 0.0000  6 Au 2.74
H: 0.5000 0.5000 0.5000  12 Au 3.87
Au: 0.0000 0.5000 0.0000  2 I 2.74
Au: 0.0000 0.0000 0.5000  2 I 2.74
Au: 0.5000 0.0000 0.0000  2 I 2.74

Output
The calculation puts the density of states at the Fermi level at 1.251 states/eV/f.u.



b) Material: HAu3I
Method: DFT, PBE
State: relaxed

Lattice parameters (Å, degrees): 4.4835 4.4835 4.4835 90.00 90.00 90.00
Last column: nearest neighbours and their distance in Å.
Fractional positions:
I: 0.5000 0.5000 0.5000  12 Au 3.17
H: 0.0000 0.0000 0.0000  6 Au 2.24
Au: 0.0000 0.5000 0.0000  2 H 2.24
Au: 0.0000 0.0000 0.5000  2 H 2.24
Au: 0.5000 0.0000 0.0000  2 H 2.24

Output
The calculation puts the density of states at the Fermi level at 2.940 states/eV/f.u.



Relative calculated energies, zero for the most stable structure, unit eV/atom: a) 0.588; b) 0.000.



a) Material: MnH2AuI
Method: DFT, PBE
State: relaxed

Lattice parameters (Å, degrees): 3.9185 5.9387 3.9185 90.00 90.00 90.00
Last column: nearest neighbours and their distance in Å.
Fractional positions:
I: 0.5000 0.5000 0.5000  4 Au 2.77
H: 0.0000 0.0000 0.5000  2 Mn 1.96
H: 0.5000 0.0000 0.0000  2 Mn 1.96
Mn: 0.0000 0.0000 0.0000  4 H 1.96
Au: 0.0000 0.5000 0.0000  4 I 2.77, 2 Mn 2.97

Output
The calculation puts the density of states at the Fermi level at 0.911 states/eV/f.u.



b) Material: MnH2AuI
Method: DFT, PBE
State: relaxed

Lattice parameters (Å, degrees): 3.8671 7.5583 3.8671 90.00 90.00 90.00
Last column: nearest neighbours and their distance in Å.
Fractional positions:
I: 0.0000 0.0000 0.0000  4 H 1.93
H: 0.0000 0.0000 0.5000  2 I 1.93
H: 0.5000 0.0000 0.0000  2 I 1.93
Mn: 0.5000 0.5000 0.5000  4 Au 2.73
Au: 0.0000 0.5000 0.0000  4 Mn 2.73

Output
The calculation puts the density of states at the Fermi level at 1.245 states/eV/f.u.



Relative calculated energies, zero for the most stable structure, unit eV/atom: a) 0.000; b) 0.298.



a) Material: HAuIN2
Method: DFT, PBE
State: relaxed

Lattice parameters (Å, degrees): 4.2768 4.2768 3.7860 90.00 90.00 90.00
Last column: nearest neighbours and their distance in Å.
Fractional positions:
I: 0.0000 0.0000 0.5000  2 H 1.89
H: 0.0000 0.0000 0.0000  2 I 1.89
Au: 0.5000 0.5000 0.5000  8 N 2.86, 4 I 3.02
N: 0.0000 0.5000 0.0000  2 H 2.14
N: 0.5000 0.0000 0.0000  2 H 2.14

Output
The calculation puts the density of states at the Fermi level at 2.655 states/eV/f.u.



b) Material: HAuIN2
Method: DFT, PBE
State: relaxed

Lattice parameters (Å, degrees): 3.9197 3.9197 8.3448 90.00 90.00 90.00
Last column: nearest neighbours and their distance in Å.
Fractional positions:
I: 0.0000 0.0000 0.5000  4 H 2.77
H: 0.5000 0.5000 0.5000  4 I 2.77
Au: 0.0000 0.0000 0.0000  4 N 1.96
N: 0.0000 0.5000 0.0000  2 Au 1.96
N: 0.5000 0.0000 0.0000  2 Au 1.96

Output
The calculation puts the density of states at the Fermi level at 1.995 states/eV/f.u.



Relative calculated energies, zero for the most stable structure, unit eV/atom: a) 0.471; b) 0.000.



a) Material: HAuIO2
Method: DFT, PBE
State: relaxed

Lattice parameters (Å, degrees): 3.8407 3.8407 8.1345 90.00 90.00 90.00
Last column: nearest neighbours and their distance in Å.
Fractional positions:
I: 0.0000 0.0000 0.5000  4 H 2.72
H: 0.5000 0.5000 0.5000  4 I 2.72
Au: 0.0000 0.0000 0.0000  4 O 1.92
O: 0.0000 0.5000 0.0000  2 Au 1.92
O: 0.5000 0.0000 0.0000  2 Au 1.92

Output
The calculation puts the density of states at the Fermi level at 3.444 states/eV/f.u.



b) Material: HAuIO2
Method: DFT, PBE
State: relaxed

Lattice parameters (Å, degrees): 4.3065 4.3065 3.5295 90.00 90.00 90.00
Last column: nearest neighbours and their distance in Å.
Fractional positions:
I: 0.0000 0.0000 0.5000  2 H 1.76
H: 0.0000 0.0000 0.0000  2 I 1.76
Au: 0.5000 0.5000 0.5000  8 O 2.78, 4 I 3.05
O: 0.0000 0.5000 0.0000  2 H 2.15
O: 0.5000 0.0000 0.0000  2 H 2.15

Output
The calculation puts the density of states at the Fermi level at 4.317 states/eV/f.u.



Relative calculated energies, zero for the most stable structure, unit eV/atom: a) 0.000; b) 0.317.



a) Material: Rb2HAuI
Method: DFT, PBE
State: relaxed

Lattice parameters (Å, degrees): 6.1655 6.1655 4.0890 90.00 90.00 90.00
Last column: nearest neighbours and their distance in Å.
Fractional positions:
I: 0.5000 0.5000 0.5000  8 Rb 3.70, 2 I 4.09
H: 0.0000 0.0000 0.0000  2 Au 2.04
Au: 0.0000 0.0000 0.5000  2 H 2.04
Rb: 0.0000 0.5000 0.0000  2 H 3.08
Rb: 0.5000 0.0000 0.0000  2 H 3.08

Output
The calculation puts the density of states at the Fermi level at 1.561 states/eV/f.u.



b) Material: Rb2HAuI
Method: DFT, PBE
State: relaxed

Lattice parameters (Å, degrees): 6.6529 6.6529 3.8917 90.00 90.00 90.00
Last column: nearest neighbours and their distance in Å.
Fractional positions:
I: 0.5000 0.5000 0.5000  8 Rb 3.85, 2 I 3.89
H: 0.0000 0.0000 0.5000  2 Au 1.95
Au: 0.0000 0.0000 0.0000  2 H 1.95
Rb: 0.0000 0.5000 0.0000  2 Au 3.33
Rb: 0.5000 0.0000 0.0000  2 Au 3.33

Output
The calculation puts the density of states at the Fermi level at 0.902 states/eV/f.u.



Relative calculated energies, zero for the most stable structure, unit eV/atom: a) 0.000; b) 0.076.



a) Material: SbHAuI2
Method: DFT, PBE
State: relaxed

Lattice parameters (Å, degrees): 5.6016 5.6016 3.8841 90.00 90.00 90.00
Last column: nearest neighbours and their distance in Å.
Fractional positions:
I: 0.0000 0.5000 0.0000  2 H 2.80
I: 0.5000 0.0000 0.0000  2 H 2.80
Sb: 0.0000 0.0000 0.5000  2 H 1.94
Au: 0.5000 0.5000 0.5000  8 I 3.41
H: 0.0000 0.0000 0.0000  2 Sb 1.94

Output
The calculation puts the density of states at the Fermi level at 2.534 states/eV/f.u.



b) Material: SbHAuI2
Method: DFT, PBE
State: relaxed

Lattice parameters (Å, degrees): 5.8916 5.8916 5.2477 90.00 90.00 90.00
Last column: nearest neighbours and their distance in Å.
Fractional positions:
I: 0.0000 0.5000 0.0000  2 Au 2.95
I: 0.5000 0.0000 0.0000  2 Au 2.95
Sb: 0.0000 0.0000 0.5000  2 Au 2.62
Au: 0.0000 0.0000 0.0000  2 Sb 2.62
H: 0.5000 0.5000 0.5000  8 I 3.94, 4 Sb 4.17

Output
The calculation puts the density of states at the Fermi level at 3.180 states/eV/f.u.



Relative calculated energies, zero for the most stable structure, unit eV/atom: a) 0.000; b) 0.202.



a) Material: SiHAu2I
Method: DFT, PBE
State: relaxed

Lattice parameters (Å, degrees): 4.6423 4.6538 6.3195 82.45 81.69 71.14
Last column: nearest neighbours and their distance in Å.
Fractional positions:
Si: 0.1171 0.7339 0.6400  4 Au 2.43-2.54, 1 I 2.53, 1 H 2.62
H: 0.6342 0.1867 0.7546  2 Au 1.77
Au: 0.2737 0.1573 0.7192  1 H 1.77
Au: 0.6723 0.5561 0.7181  1 H 1.77
I: 0.1793 0.7914 0.2331  1 Si 2.53

Output
The calculation puts the density of states at the Fermi level at 0.830 states/eV/f.u.



b) Material: SiHAu2I
Method: DFT, PBE
State: relaxed

Lattice parameters (Å, degrees): 4.5833 4.8774 5.6514 69.93 70.24 86.92
Last column: nearest neighbours and their distance in Å.
Fractional positions:
Si: 0.3785 0.7286 0.8212  3 Au 2.39-2.47
H: 0.7022 0.7398 0.2250  2 Au 1.78-1.80
Au: 0.8478 0.8903 0.8643  1 H 1.80
Au: 0.6848 0.4758 0.5384  1 H 1.78
I: 0.1983 0.2305 0.2490  1 Si 2.70, 1 Au 2.84

Output
The calculation puts the density of states at the Fermi level at 1.016 states/eV/f.u.



Relative calculated energies, zero for the most stable structure, unit eV/atom: a) 0.000; b) 0.162.



a) Material: InH2Au2
Method: DFT, PBE
State: relaxed

Lattice parameters (Å, degrees): 4.1906 2.9869 10.5493 89.21 78.55 45.45
Last column: nearest neighbours and their distance in Å.
Fractional positions:
In: 0.0000 0.0000 0.0000  8 Au 2.95-2.97, 4 In 2.99
H: 0.4721 0.5187 0.5370  1 H 0.75
H: 0.5279 0.4813 0.4630  1 H 0.75
Au: 0.3088 0.1784 0.2041  4 In 2.95-2.97, 4 Au 2.99, 1 H 3.29
Au: 0.6912 0.8216 0.7959  4 In 2.95-2.97, 4 Au 2.99, 1 H 3.29

Output
The calculation puts the density of states at the Fermi level at 0.695 states/eV/f.u.



b) Material: InH2Au2
Method: DFT, PBE
State: relaxed

Lattice parameters (Å, degrees): 3.8824 3.8824 5.3808 68.85 68.85 90.00
Last column: nearest neighbours and their distance in Å.
Fractional positions:
H: 0.7500 0.2500 0.5000  4 Au 2.11
H: 0.2500 0.7500 0.5000  4 Au 2.11
Au: 0.3399 0.3399 0.3201  4 H 2.11
Au: 0.6601 0.6601 0.6799  4 H 2.11
In: 0.0000 0.0000 0.0000  8 H 3.02, 10 Au 3.12-3.15

Output
The calculation puts the density of states at the Fermi level at 1.378 states/eV/f.u.



Relative calculated energies, zero for the most stable structure, unit eV/atom: a) 0.000; b) 0.178.



a) Material: InH2Au2
Method: DFT, PBE
State: relaxed

Lattice parameters (Å, degrees): 7.1915 7.1915 3.5440 90.00 90.00 90.00
Last column: nearest neighbours and their distance in Å.
Fractional positions:
H: 0.3576 0.8576 0.5000  2 Au 1.77
H: 0.8576 0.6424 0.5000  2 Au 1.77
H: 0.6424 0.1424 0.5000  2 Au 1.77
H: 0.1424 0.3576 0.5000  2 Au 1.77
Au: 0.3589 0.8589 0.0000  2 H 1.77
Au: 0.8589 0.6411 0.0000  2 H 1.77
Au: 0.6411 0.1411 0.0000  2 H 1.77
Au: 0.1411 0.3589 0.0000  2 H 1.77
In: 0.0000 0.0000 0.0000  4 Au 2.77
In: 0.5000 0.5000 0.0000  4 Au 2.77

Output
The calculation puts the density of states at the Fermi level at 1.035 states/eV/f.u.



b) Material: InH2Au2
Method: DFT, PBE
State: relaxed

Lattice parameters (Å, degrees): 6.3503 6.3503 3.6385 90.00 90.00 90.00
Last column: nearest neighbours and their distance in Å.
Fractional positions:
H: 0.1428 0.6428 0.0000  2 Au 1.83
H: 0.6428 0.8572 0.0000  2 Au 1.83
H: 0.8572 0.3572 0.0000  2 Au 1.83
H: 0.3572 0.1428 0.0000  2 Au 1.83
Au: 0.1611 0.6611 0.5000  2 H 1.83
Au: 0.6611 0.8389 0.5000  2 H 1.83
Au: 0.8389 0.3389 0.5000  2 H 1.83
Au: 0.3389 0.1611 0.5000  2 H 1.83
In: 0.0000 0.0000 0.0000  4 H 2.44
In: 0.5000 0.5000 0.0000  4 H 2.44

Output
The calculation puts the density of states at the Fermi level at 1.131 states/eV/f.u.



Relative calculated energies, zero for the most stable structure, unit eV/atom: a) 0.000; b) 0.036.



a) Material: InH2Au
Method: DFT, PBE
State: relaxed

Lattice parameters (Å, degrees): 5.5813 5.5813 5.5941 60.08 60.08 90.00
Last column: nearest neighbours and their distance in Å.
Fractional positions:
H: 0.7813 0.1250 0.2500  2 Au 1.79
H: 0.9687 0.6250 0.2500  2 Au 1.79
H: 0.3750 0.2187 0.7500  2 Au 1.79
H: 0.8750 0.0313 0.7500  2 Au 1.79
Au: 0.0000 0.0000 0.0000  4 H 1.79
Au: 0.7500 0.2500 0.5000  4 H 1.79
In: 0.5000 0.5000 0.0000  4 H 2.84
In: 0.2500 0.7500 0.5000  4 H 2.84

Output
The calculation puts the density of states at the Fermi level at 0.000 states/eV/f.u.



b) Material: InH2Au
Method: DFT, PBE
State: relaxed

Lattice parameters (Å, degrees): 6.5964 3.5698 9.3936 78.71 83.63 55.91
Last column: nearest neighbours and their distance in Å.
Fractional positions:
In: 0.2494 0.6496 0.6962  4 Au 2.86-2.90
In: 0.7506 0.3504 0.3038  4 Au 2.86-2.90
H: 0.7839 0.9031 0.9481  1 H 0.75
H: 0.2161 0.0969 0.0519  1 H 0.75
H: 0.7132 0.1586 0.9449  1 H 0.75
H: 0.2868 0.8414 0.0551  1 H 0.75
Au: 0.0000 0.5000 0.5000  2 Au 2.73, 4 In 2.86-2.90
Au: 0.5000 0.0000 0.5000  2 Au 2.73, 4 In 2.87-2.90

Output
The calculation puts the density of states at the Fermi level at 0.852 states/eV/f.u.



c) Material: InH2Au
Method: DFT, PBE
State: relaxed

Lattice parameters (Å, degrees): 4.1736 4.1736 4.1736 60.00 60.00 60.00
Last column: nearest neighbours and their distance in Å.
Fractional positions:
H: 0.2500 0.2500 0.2500  4 In 2.56, 4 Au 2.56
H: 0.7500 0.7500 0.7500  4 Au 2.56, 4 In 2.56
Au: 0.5000 0.5000 0.5000  8 H 2.56
In: 0.0000 0.0000 0.0000  8 H 2.56

Output
The calculation puts the density of states at the Fermi level at 1.917 states/eV/f.u.



Relative calculated energies, zero for the most stable structure, unit eV/atom: a) 0.177; b) 0.000; c) 0.643.



a) Material: InH3Au
Method: DFT, PBE
State: relaxed

Lattice parameters (Å, degrees): 3.9565 3.9565 3.9565 90.00 90.00 90.00
Last column: nearest neighbours and their distance in Å.
Fractional positions:
H: 0.0000 0.5000 0.0000  2 In 1.98
H: 0.0000 0.0000 0.5000  2 In 1.98
H: 0.5000 0.0000 0.0000  2 In 1.98
Au: 0.5000 0.5000 0.5000  12 H 2.80
In: 0.0000 0.0000 0.0000  6 H 1.98

Output
The calculation puts the density of states at the Fermi level at 1.634 states/eV/f.u.



b) Material: InH3Au
Method: DFT, PBE
State: relaxed

Lattice parameters (Å, degrees): 3.9044 3.9044 3.9044 90.00 90.00 90.00
Last column: nearest neighbours and their distance in Å.
Fractional positions:
H: 0.0000 0.5000 0.0000  2 Au 1.95
H: 0.0000 0.0000 0.5000  2 Au 1.95
H: 0.5000 0.0000 0.0000  2 Au 1.95
Au: 0.0000 0.0000 0.0000  6 H 1.95
In: 0.5000 0.5000 0.5000  12 H 2.76

Output
The calculation puts the density of states at the Fermi level at 0.790 states/eV/f.u.



Relative calculated energies, zero for the most stable structure, unit eV/atom: a) 0.393; b) 0.000.



a) Material: InHAu2
Method: DFT, PBE
State: relaxed

Lattice parameters (Å, degrees): 4.5847 4.5847 4.5847 60.00 60.00 60.00
Last column: nearest neighbours and their distance in Å.
Fractional positions:
H: 0.0000 0.0000 0.0000  8 Au 2.81
Au: 0.2500 0.2500 0.2500  4 In 2.81, 4 H 2.81
Au: 0.7500 0.7500 0.7500  4 In 2.81, 4 H 2.81
In: 0.5000 0.5000 0.5000  8 Au 2.81

Output
The calculation puts the density of states at the Fermi level at 1.254 states/eV/f.u.



b) Material: InHAu2
Method: DFT, PBE
State: relaxed

Lattice parameters (Å, degrees): 5.3451 5.3451 6.3627 65.16 65.16 90.00
Last column: nearest neighbours and their distance in Å.
Fractional positions:
H: 0.5000 0.5000 0.0000  4 Au 1.94
H: 0.2500 0.7500 0.5000  4 Au 1.94
Au: 0.4866 0.1250 0.2500  2 H 1.94
Au: 0.2634 0.6250 0.2500  2 H 1.94
Au: 0.3750 0.5134 0.7500  2 H 1.94
Au: 0.8750 0.7366 0.7500  2 H 1.94
In: 0.0000 0.0000 0.0000  4 Au 2.78
In: 0.7500 0.2500 0.5000  4 Au 2.78

Output
The calculation puts the density of states at the Fermi level at 0.994 states/eV/f.u.



c) Material: InHAu2
Method: DFT, PBE
State: relaxed

Lattice parameters (Å, degrees): 3.0127 3.0127 8.6554 79.98 79.98 60.00
Last column: nearest neighbours and their distance in Å.
Fractional positions:
H: 0.5000 0.5000 0.5000  6 Au 2.21
Au: 0.1131 0.1131 0.6607  3 H 2.21
Au: 0.8869 0.8869 0.3393  3 H 2.21
In: 0.0000 0.0000 0.0000  2 Au 2.88, 6 In 3.01

Output
The calculation puts the density of states at the Fermi level at 1.602 states/eV/f.u.



Relative calculated energies, zero for the most stable structure, unit eV/atom: a) 0.338; b) 0.000; c) 0.191.